# Li2MgAl2 | Alexandria | PBE | relaxed
data_Li2MgAl2
_chemical_formula_sum 'Li4 Mg2 Al4'
_cell_length_a 7.318
_cell_length_b 7.318
_cell_length_c 3.238
_cell_angle_alpha 90.00
_cell_angle_beta 90.00
_cell_angle_gamma 90.00
_symmetry_space_group_name_H-M 'P 4/m b m'
_symmetry_Int_Tables_number 127
_symmetry_space_group_name_Hall '-P 4 2ab'
loop_
_atom_site_label
_atom_site_type_symbol
_atom_site_fract_x
_atom_site_fract_y
_atom_site_fract_z
Li1 Li 0.143 0.357 0.000
Mg1 Mg 0.000 0.000 0.000
Al1 Al 0.152 0.652 0.500
# spin magnetization = 0.00 μB/f.u.
# DFT total energy = -2.57 eV/atom
# Fermi-level density of states = 3.77 states/eV/cell

# CaZnCl | Alexandria | PBE | relaxed
data_CaZnCl
_chemical_formula_sum 'Ca4 Zn4 Cl4'
_cell_length_a 5.038
_cell_length_b 5.063
_cell_length_c 13.506
_cell_angle_alpha 90.00
_cell_angle_beta 90.00
_cell_angle_gamma 90.00
_symmetry_space_group_name_H-M 'F m m 2'
_symmetry_Int_Tables_number 42
_symmetry_space_group_name_Hall 'F 2 -2'
loop_
_atom_site_label
_atom_site_type_symbol
_atom_site_fract_x
_atom_site_fract_y
_atom_site_fract_z
Ca1 Ca 0.000 0.000 0.000
Zn1 Zn 0.000 0.000 0.357
Cl1 Cl 0.000 0.000 0.603
# energy relative to the elements, uncorrected = -898 meV per atom
# spin magnetization = 0.00 μB/f.u.
# Fermi-level density of states = 4.08 states/eV/cell

# CsThScTe4 | Alexandria | PBE | relaxed
data_CsThScTe4
_chemical_formula_sum 'Cs2 Th2 Sc2 Te8'
_cell_length_a 7.666
_cell_length_b 7.715
_cell_length_c 10.740
_cell_angle_alpha 90.00
_cell_angle_beta 109.93
_cell_angle_gamma 90.00
_symmetry_space_group_name_H-M 'P 1 21/m 1'
_symmetry_Int_Tables_number 11
loop_
_symmetry_equiv_pos_as_xyz
'x,y,z'
'-x,-y,-z'
'-x,y+1/2,-z'
'x,-y+1/2,z'
loop_
_atom_site_label
_atom_site_type_symbol
_atom_site_fract_x
_atom_site_fract_y
_atom_site_fract_z
Cs1 Cs 0.248 0.250 0.451
Th1 Th 0.287 0.250 0.953
Sc1 Sc 0.257 0.750 0.161
Te1 Te 0.018 0.750 0.908
Te2 Te 0.046 0.750 0.322
Te3 Te 0.474 0.510 0.804
# energy relative to the elements, uncorrected = -1146 meV per atom
# spin magnetization = 0.00 μB/f.u.

# CsNa2MgAg | Alexandria | PBE | relaxed
data_CsNa2MgAg
_chemical_formula_sum 'Cs1 Na2 Mg1 Ag1'
_cell_length_a 5.949
_cell_length_b 5.949
_cell_length_c 5.531
_cell_angle_alpha 90.00
_cell_angle_beta 90.00
_cell_angle_gamma 90.00
_symmetry_space_group_name_H-M 'P 4/m m m'
_symmetry_Int_Tables_number 123
_symmetry_space_group_name_Hall '-P 4 2'
loop_
_atom_site_label
_atom_site_type_symbol
_atom_site_fract_x
_atom_site_fract_y
_atom_site_fract_z
Cs1 Cs 0.000 0.000 0.000
Na1 Na 0.000 0.500 0.500
Mg1 Mg 0.500 0.500 0.000
Ag1 Ag 0.500 0.500 0.500
# spin magnetization = 0.00 μB/f.u.
# DFT total energy = -1.52 eV/atom
# Fermi-level density of states = 2.75 states/eV/cell

# PuSnPt | Alexandria | PBE | relaxed
data_PuSnPt
_chemical_formula_sum 'Pu4 Sn4 Pt4'
_cell_length_a 3.859
_cell_length_b 17.048
_cell_length_c 4.306
_cell_angle_alpha 90.00
_cell_angle_beta 90.00
_cell_angle_gamma 90.00
_symmetry_space_group_name_H-M 'C m c m'
_symmetry_Int_Tables_number 63
_symmetry_space_group_name_Hall '-C 2c 2'
loop_
_atom_site_label
_atom_site_type_symbol
_atom_site_fract_x
_atom_site_fract_y
_atom_site_fract_z
Pu1 Pu 0.000 0.093 0.250
Sn1 Sn 0.000 0.287 0.250
Pt1 Pt 0.000 0.447 0.250
# spin magnetization = 5.33 μB/f.u.
# DFT total energy = -8.75 eV/atom
# Fermi-level density of states = 42.20 states/eV/cell